Sm3Tc2N6: optimized geometry, PBE.

Unit cell a=10.004 b=10.004 c=10.004 alpha=157.55 beta=157.55 gamma=31.96
Element x y z (fractional)
N  0.302  0.302  0.000
N  0.698  0.698  0.000
N  0.586  0.086  0.500
N  0.914  0.414  0.500
N  0.086  0.586  0.500
N  0.414  0.914  0.500
Sm  0.000  0.000  0.000
Sm  0.184  0.184  0.000
Sm  0.816  0.816  0.000
Tc  0.409  0.409  0.000
Tc  0.591  0.591  0.000

Values from the calculation:
Theoretical density, g/cm3: 8.3
VASP energy, Ry per atom: -0.627